(1)
Computed, not measured: a relaxed Ho5In2Os2 crystal at the PBE level of DFT.

Geometry as POSCAR:
```
Ho5In2Os2
1.0
8.261 -3.727 0.000
8.261 3.727 0.000
0.000 0.000 7.517
Ho In Os
10 4 4
Cartesian
0.000 0.000 0.000 Ho
6.312 2.370 5.109 Ho
6.312 1.356 1.351 Ho
10.210 2.370 5.109 Ho
10.210 1.356 1.351 Ho
8.261 0.000 3.758 Ho
6.312 -1.356 6.166 Ho
6.312 -2.370 2.408 Ho
10.210 -1.356 6.166 Ho
10.210 -2.370 2.408 Ho
3.721 0.000 0.000 In
4.540 0.000 3.758 In
11.982 0.000 3.758 In
12.801 0.000 0.000 In
8.261 2.864 2.857 Os
8.261 0.862 6.615 Os
8.261 -0.862 0.902 Os
8.261 -2.864 4.660 Os
```

DOS at the Fermi energy ... 12.13 states/eV per cell
DFT formation energy ... -0.331 eV/atom



(2)
Computed, not measured: a relaxed PmHoInOs crystal at the PBE level of DFT.

Geometry as POSCAR:
```
PmHoInOs
1.0
0.000 3.605 3.605
3.605 0.000 3.605
3.605 3.605 0.000
Pm Ho In Os
1 1 1 1
Cartesian
0.000 0.000 0.000 Pm
3.605 3.605 3.605 Ho
5.408 5.408 5.408 In
1.803 1.803 1.803 Os
```

DOS at the Fermi energy ... 2.32 states/eV per cell
DFT formation energy ... -0.180 eV/atom



(3)
Computed, not measured: a relaxed Ho5In2OsRh2 crystal at the PBE level of DFT.

Geometry as POSCAR:
```
Ho5In2OsRh2
1.0
11.615 0.000 0.000
0.000 11.615 0.000
0.000 0.000 3.479
Ho In Os Rh
10 4 2 4
Cartesian
0.000 5.808 0.000 Ho
0.735 2.255 0.000 Ho
2.255 10.880 0.000 Ho
3.552 5.073 0.000 Ho
5.073 8.063 0.000 Ho
5.808 0.000 0.000 Ho
6.542 3.552 0.000 Ho
8.063 6.542 0.000 Ho
9.360 0.735 0.000 Ho
10.880 9.360 0.000 Ho
2.090 7.898 1.740 In
3.718 2.090 1.740 In
7.898 9.525 1.740 In
9.525 3.718 1.740 In
0.000 0.000 1.740 Os
5.808 5.808 1.740 Os
1.571 4.237 1.740 Rh
4.237 10.044 1.740 Rh
7.378 1.571 1.740 Rh
10.044 7.378 1.740 Rh
```

DOS at the Fermi energy ... 10.82 states/eV per cell
DFT formation energy ... -0.534 eV/atom



(4)
Computed, not measured: a relaxed Ho5In2OsRu2 crystal at the PBE level of DFT.

Geometry as POSCAR:
```
Ho5In2OsRu2
1.0
11.614 0.000 0.000
0.000 11.614 0.000
0.000 0.000 3.460
Ho In Os Ru
10 4 2 4
Cartesian
0.000 5.807 0.000 Ho
0.688 2.274 0.000 Ho
2.274 10.926 0.000 Ho
3.533 5.119 0.000 Ho
5.119 8.081 0.000 Ho
5.807 0.000 0.000 Ho
6.495 3.533 0.000 Ho
8.081 6.495 0.000 Ho
9.339 0.688 0.000 Ho
10.926 9.339 0.000 Ho
2.144 7.951 1.730 In
3.662 2.144 1.730 In
7.951 9.469 1.730 In
9.469 3.662 1.730 In
0.000 0.000 1.730 Os
5.807 5.807 1.730 Os
1.576 4.231 1.730 Ru
4.231 10.038 1.730 Ru
7.383 1.576 1.730 Ru
10.038 7.383 1.730 Ru
```

DOS at the Fermi energy ... 13.81 states/eV per cell
DFT formation energy ... -0.279 eV/atom



(5)
Computed, not measured: a relaxed HoScInOs crystal at the PBE level of DFT.

Geometry as POSCAR:
```
HoScInOs
1.0
0.000 3.460 3.460
3.460 0.000 3.460
3.460 3.460 0.000
Ho Sc In Os
1 1 1 1
Cartesian
0.000 0.000 0.000 Ho
3.460 3.460 3.460 Sc
5.190 5.190 5.190 In
1.730 1.730 1.730 Os
```

DOS at the Fermi energy ... 3.26 states/eV per cell
DFT formation energy ... -0.287 eV/atom
Polymorph energy (0 for the lowest one) ... 151 meV per atom



(6)
Computed, not measured: a relaxed HoScInOs crystal at the PBE level of DFT.

Geometry as POSCAR:
```
HoScInOs
1.0
3.353 0.000 0.000
0.000 3.353 0.000
0.000 0.000 7.604
Ho Sc In Os
1 1 1 1
Cartesian
0.000 0.000 0.000 Ho
0.000 0.000 4.427 Sc
1.677 1.677 2.374 In
1.677 1.677 5.871 Os
```

DOS at the Fermi energy ... 2.63 states/eV per cell
DFT formation energy ... -0.438 eV/atom
Polymorph energy (0 for the lowest one) ... 0 meV per atom



(7)
Computed, not measured: a relaxed HoInP2 crystal at the PBE level of DFT.

Geometry as POSCAR:
```
HoInP2
1.0
2.179 1.258 7.359
-2.179 1.258 7.359
0.000 -2.516 7.359
Ho In P
1 1 2
Cartesian
0.000 0.000 0.000 Ho
0.000 0.000 11.038 In
0.000 0.000 8.673 P
0.000 0.000 13.403 P
```

DOS at the Fermi energy ... 0.22 states/eV per cell
DFT formation energy ... -0.402 eV/atom



(8)
Computed, not measured: a relaxed Ho3InP crystal at the PBE level of DFT.

Geometry as POSCAR:
```
Ho3InP
1.0
8.895 0.000 0.000
0.000 3.967 0.000
0.000 0.000 15.037
Ho In P
12 4 4
Cartesian
0.266 0.992 1.649 Ho
1.453 0.992 7.681 Ho
1.759 2.975 4.332 Ho
2.688 0.992 11.850 Ho
2.995 2.975 0.162 Ho
4.182 2.975 9.168 Ho
4.713 0.992 5.869 Ho
5.900 0.992 14.875 Ho
6.207 2.975 3.187 Ho
7.136 0.992 10.705 Ho
7.442 2.975 7.356 Ho
8.629 2.975 13.388 Ho
0.763 2.975 10.140 In
3.684 0.992 2.621 In
5.211 2.975 12.416 In
8.132 0.992 4.897 In
1.438 0.992 14.202 P
3.010 2.975 6.684 P
5.885 0.992 8.353 P
7.457 2.975 0.835 P
```

DOS at the Fermi energy ... 14.86 states/eV per cell
DFT formation energy ... -0.838 eV/atom
Polymorph energy (0 for the lowest one) ... 0 meV per atom



For each record above, in turn, the calculated density values are 10.3; 10.9; 10.3; 10.3; 10.3; 10.0; 4.7; 8.0 Mg/m³.